(1)
VASP calculation (GGA-PBEsol) on EuSn3 after structural relaxation.

a = 4.674 Å, b = 4.674 Å, c = 4.674 Å
α = 90.00°, β = 90.00°, γ = 90.00°
Last column: magnetic moment on the atom in μB.
Atoms (fractional coordinates):
Eu1 0.000 0.000 0.000  6.72
Sn1 0.000 0.500 0.500  0.00
Sn2 0.500 0.500 0.000  0.00
Sn3 0.500 0.000 0.500  0.00

Calculated values
The calculated density is 8.26 Mg/m³. The space group is Pm-3m, No. 221. The total energy comes out at -6.4011 eV/atom. The calculation puts the energy of formation from the pure elements at -0.566 eV/atom. Its crystal system is cubic.

---

(2)
VASP calculation (GGA-PBEsol) on TeOsSe2 after structural relaxation.

a = 4.688 Å, b = 4.688 Å, c = 4.688 Å
α = 60.00°, β = 60.00°, γ = 60.00°
Atoms (fractional coordinates):
Os1 0.500 0.500 0.500
Se1 0.000 0.000 0.000
Se2 0.750 0.750 0.750
Te1 0.250 0.250 0.250

Calculated values
The calculated density is 10.84 Mg/m³. The space group is F-43m, No. 216. The value obtained for the uncorrected formation energy is 0.789 eV per atom. The total energy comes out at -5.0719 eV/atom. Its crystal system is cubic.

---

(3)
VASP calculation (GGA-PBEsol) on Cs2TlAsCl6 after structural relaxation.

a = 7.661 Å, b = 7.661 Å, c = 7.661 Å
α = 60.00°, β = 60.00°, γ = 60.00°
Atoms (fractional coordinates):
Cs1 0.750 0.750 0.750
Cs2 0.250 0.250 0.250
Tl1 0.500 0.500 0.500
As1 0.000 0.000 0.000
Cl1 0.771 0.229 0.229
Cl2 0.771 0.771 0.229
Cl3 0.229 0.771 0.771
Cl4 0.771 0.229 0.771
Cl5 0.229 0.771 0.229
Cl6 0.229 0.229 0.771

Calculated values
The calculated density is 3.96 Mg/m³. The space group is Fm-3m, No. 225. The value obtained for the uncorrected formation energy is -1.302 eV per atom. The total energy comes out at -3.4686 eV/atom. Its crystal system is cubic.

---

(4)
VASP calculation (GGA-PBEsol) on CdCuTc2 after structural relaxation.

a = 3.636 Å, b = 3.636 Å, c = 5.095 Å
α = 110.91°, β = 110.91°, γ = 90.00°
Atoms (fractional coordinates):
Cd1 0.500 0.500 0.000
Cu1 0.000 0.000 0.000
Tc1 0.750 0.250 0.500
Tc2 0.250 0.750 0.500

Calculated values
The calculated density is 10.62 Mg/m³. The space group is I4/mmm, No. 139. The total energy comes out at -6.5709 eV/atom. The calculation puts the energy of formation from the pure elements at 0.445 eV/atom. Its crystal system is tetragonal.

---

Q: What is the formula in the second record?
A: TeOsSe2

---

Copy entry 3 word for word.
VASP calculation (GGA-PBEsol) on Cs2TlAsCl6 after structural relaxation.

a = 7.661 Å, b = 7.661 Å, c = 7.661 Å
α = 60.00°, β = 60.00°, γ = 60.00°
Atoms (fractional coordinates):
Cs1 0.750 0.750 0.750
Cs2 0.250 0.250 0.250
Tl1 0.500 0.500 0.500
As1 0.000 0.000 0.000
Cl1 0.771 0.229 0.229
Cl2 0.771 0.771 0.229
Cl3 0.229 0.771 0.771
Cl4 0.771 0.229 0.771
Cl5 0.229 0.771 0.229
Cl6 0.229 0.229 0.771

Calculated values
The calculated density is 3.96 Mg/m³. The space group is Fm-3m, No. 225. The value obtained for the uncorrected formation energy is -1.302 eV per atom. The total energy comes out at -3.4686 eV/atom. Its crystal system is cubic.

---

Q: What is the calculated density in the fourth record?
A: 10.62 Mg/m³

---

Q: Among the records above, which one has the highest calculated density?
A: TeOsSe2